Density functional theory data (PBE-GGA) for a geometry-optimized Li3Ce2AlGe4 structure.

Calculated values
The calculation puts the volume at 18.7 Å³/atom. The theoretical density comes out at 5.48 g cm⁻³. The calculation puts the density of states at the Fermi level at 14.38 states/eV/f.u. For the formation energy, the calculation gives -535 meV per atom.

Cell lengths 4.211, 4.211, 10.563 Å; angles 90.00, 90.00, 90.00 degrees
Sites, in units of the cell vectors:
1 Li 0.000 0.000 0.000
2 Li 0.000 0.500 0.625
3 Li 0.500 0.000 0.375
4 Ce 0.000 0.500 0.262
5 Ce 0.500 0.000 0.738
6 Al 0.500 0.500 0.000
7 Ge 0.000 0.000 0.500
8 Ge 0.000 0.500 0.854
9 Ge 0.500 0.000 0.146
10 Ge 0.500 0.500 0.500


Density functional theory data (PBE-GGA) for a geometry-optimized Li2MgCuF6 structure.

Calculated values
The calculation puts the volume at 10.7 Å³/atom. The theoretical density comes out at 3.35 g cm⁻³. Its total energy is -4.75 eV/atom.

Cell lengths 5.013, 5.164, 5.372 Å; angles 63.95, 89.71, 62.27 degrees
Sites, in units of the cell vectors:
1 Li 0.000 0.000 0.000
2 Li 0.497 0.982 0.507
3 Mg 0.215 0.555 0.623
4 Cu 0.718 0.557 0.125
5 F 0.140 0.010 0.346
6 F 0.289 0.098 0.804
7 F 0.463 0.418 0.354
8 F 0.608 0.438 0.856
9 F 0.816 0.728 0.345
10 F 0.936 0.730 0.853


Density functional theory data (PBE-GGA) for a geometry-optimized La2SmGe2 structure.

Calculated values
The calculation puts the volume at 28.2 Å³/atom. The theoretical density comes out at 6.75 g cm⁻³. The calculation puts the density of states at the Fermi level at 5.65 states/eV/f.u. For the formation energy, the calculation gives -765 meV per atom.

Cell lengths 7.906, 7.906, 4.510 Å; angles 90.00, 90.00, 90.00 degrees
Sites, in units of the cell vectors:
1 La 0.175 0.325 0.000
2 La 0.325 0.825 0.000
3 La 0.675 0.175 0.000
4 La 0.825 0.675 0.000
5 Sm 0.000 0.000 0.500
6 Sm 0.500 0.500 0.500
7 Ge 0.120 0.620 0.500
8 Ge 0.380 0.120 0.500
9 Ge 0.620 0.880 0.500
10 Ge 0.880 0.380 0.500


Density functional theory data (PBE-GGA) for a geometry-optimized Nd7Pt3 structure.

Calculated values
The calculation puts the volume at 29.2 Å³/atom. The theoretical density comes out at 9.08 g cm⁻³. The calculation puts the density of states at the Fermi level at 11.79 states/eV/f.u. For the formation energy, the calculation gives -746 meV per atom.

Cell lengths 10.211, 10.211, 6.460 Å; angles 90.00, 90.00, 120.00 degrees
Sites, in units of the cell vectors:
1 Nd 0.075 0.538 0.000
2 Nd 0.127 0.253 0.700
3 Nd 0.127 0.873 0.700
4 Nd 0.253 0.127 0.200
5 Nd 0.333 0.667 0.488
6 Nd 0.462 0.538 0.000
7 Nd 0.462 0.925 0.000
8 Nd 0.538 0.075 0.500
9 Nd 0.538 0.462 0.500
10 Nd 0.667 0.333 0.988
11 Nd 0.747 0.873 0.700
12 Nd 0.873 0.127 0.200
13 Nd 0.873 0.747 0.200
14 Nd 0.925 0.462 0.500
15 Pt 0.189 0.378 0.253
16 Pt 0.189 0.811 0.253
17 Pt 0.378 0.189 0.753
18 Pt 0.622 0.811 0.253
19 Pt 0.811 0.189 0.753
20 Pt 0.811 0.622 0.753


Density functional theory data (PBE-GGA) for a geometry-optimized MoPbAu2 structure.

Calculated values
The calculation puts the volume at 19.2 Å³/atom. The theoretical density comes out at 15.08 g cm⁻³. The calculation puts the density of states at the Fermi level at 2.41 states/eV/f.u. For the formation energy, the calculation gives 409 meV per atom.

Cell lengths 4.159, 4.159, 4.436 Å; angles 90.00, 90.00, 90.00 degrees
Sites, in units of the cell vectors:
1 Mo 0.000 0.000 0.000
2 Pb 0.500 0.500 0.000
3 Au 0.000 0.500 0.500
4 Au 0.500 0.000 0.500


Density functional theory data (PBE-GGA) for a geometry-optimized Er4Cu5Ni2 structure.

Calculated values
The calculation puts the volume at 18.2 Å³/atom. The theoretical density comes out at 9.14 g cm⁻³. The calculation puts the density of states at the Fermi level at 7.22 states/eV/f.u. For the formation energy, the calculation gives -286 meV per atom.

Cell lengths 6.745, 3.875, 7.675 Å; angles 90.00, 91.55, 90.00 degrees
Sites, in units of the cell vectors:
1 Er 0.222 0.000 0.360
2 Er 0.244 0.000 0.892
3 Er 0.756 0.000 0.108
4 Er 0.778 0.000 0.640
5 Cu 0.142 0.500 0.619
6 Cu 0.440 0.500 0.156
7 Cu 0.500 0.500 0.500
8 Cu 0.560 0.500 0.844
9 Cu 0.858 0.500 0.381
10 Ni 0.076 0.500 0.136
11 Ni 0.924 0.500 0.864


Density functional theory data (PBE-GGA) for a geometry-optimized Sc4NiPt structure.

Calculated values
The calculation puts the volume at 19.0 Å³/atom. The theoretical density comes out at 6.30 g cm⁻³. The calculation puts the density of states at the Fermi level at 8.43 states/eV/f.u. For the formation energy, the calculation gives 255 meV per atom.

Cell lengths 5.447, 5.447, 5.447 Å; angles 60.00, 60.00, 60.00 degrees
Sites, in units of the cell vectors:
1 Sc 0.125 0.125 0.125
2 Sc 0.125 0.125 0.624
3 Sc 0.125 0.624 0.125
4 Sc 0.624 0.125 0.125
5 Ni 0.750 0.750 0.750
6 Pt 0.500 0.500 0.500


Density functional theory data (PBE-GGA) for a geometry-optimized Sr2BeFe structure.

Calculated values
The calculation puts the volume at 28.1 Å³/atom. The theoretical density comes out at 3.55 g cm⁻³. The calculation puts the density of states at the Fermi level at 3.27 states/eV/f.u. For the formation energy, the calculation gives 408 meV per atom.

Cell lengths 4.110, 4.601, 11.882 Å; angles 90.00, 90.00, 90.00 degrees
Sites, in units of the cell vectors:
1 Sr 0.000 0.000 0.000
2 Sr 0.000 0.500 0.500
3 Sr 0.500 0.000 0.278
4 Sr 0.500 0.500 0.778
5 Be 0.000 0.000 0.678
6 Be 0.000 0.500 0.178
7 Fe 0.500 0.000 0.603
8 Fe 0.500 0.500 0.103


Density functional theory data (PBE-GGA) for a geometry-optimized K3CdB2O6 structure.

Calculated values
The calculation puts the volume at 15.8 Å³/atom. The theoretical density comes out at 3.05 g cm⁻³. The calculation puts the density of states at the Fermi level at 5.28 states/eV/f.u. Its total energy is -5.79 eV/atom.

Cell lengths 5.615, 5.615, 6.922 Å; angles 90.00, 90.00, 120.00 degrees
Sites, in units of the cell vectors:
1 K 0.000 0.000 0.000
2 K 0.333 0.667 0.726
3 K 0.667 0.333 0.274
4 Cd 0.000 0.000 0.500
5 B 0.333 0.667 0.291
6 B 0.667 0.333 0.709
7 O 0.191 0.382 0.289
8 O 0.191 0.809 0.289
9 O 0.382 0.191 0.711
10 O 0.618 0.809 0.289
11 O 0.809 0.191 0.711
12 O 0.809 0.618 0.711


Density functional theory data (PBE-GGA) for a geometry-optimized PmZnPdPb structure.

Calculated values
The calculation puts the volume at 21.9 Å³/atom. The theoretical density comes out at 9.94 g cm⁻³. The calculation puts the density of states at the Fermi level at 2.06 states/eV/f.u. For the formation energy, the calculation gives -485 meV per atom.

Cell lengths 7.048, 7.048, 7.048 Å; angles 90.00, 90.00, 90.00 degrees
Sites, in units of the cell vectors:
1 Pm 0.000 0.000 0.000
2 Pm 0.000 0.500 0.500
3 Pm 0.500 0.000 0.500
4 Pm 0.500 0.500 0.000
5 Zn 0.250 0.250 0.250
6 Zn 0.250 0.750 0.750
7 Zn 0.750 0.250 0.750
8 Zn 0.750 0.750 0.250
9 Pd 0.250 0.250 0.750
10 Pd 0.250 0.750 0.250
11 Pd 0.750 0.250 0.250
12 Pd 0.750 0.750 0.750
13 Pb 0.000 0.000 0.500
14 Pb 0.000 0.500 0.000
15 Pb 0.500 0.000 0.000
16 Pb 0.500 0.500 0.500


Density functional theory data (PBE-GGA) for a geometry-optimized TiCdPb2 structure.

Calculated values
The calculation puts the volume at 24.3 Å³/atom. The theoretical density comes out at 9.83 g cm⁻³. The calculation puts the density of states at the Fermi level at 3.95 states/eV/f.u. For the formation energy, the calculation gives 180 meV per atom.

Cell lengths 3.835, 3.835, 6.601 Å; angles 90.00, 90.00, 90.00 degrees
Sites, in units of the cell vectors:
1 Ti 0.000 0.000 0.000
2 Cd 0.000 0.000 0.500
3 Pb 0.500 0.500 0.235
4 Pb 0.500 0.500 0.765